Entry 1:
# PrBiCl, relaxed, DFT PBE-GGA
# ρ	6.65	g/cm³
# total moment	0.00	μB per cell
# energy relative to the elements, uncorrected	-393	kJ/mol of formula units
# space-group type	P2_1/c
data_PrBiCl
_space_group_name_H-M_alt 'P 1'
_space_group_IT_number 1
_cell_length_a 6.4591
_cell_length_b 9.6584
_cell_length_c 8.1144
_cell_angle_alpha 130.48
_cell_angle_beta 90.00
_cell_angle_gamma 90.00
loop_
_space_group_symop_operation_xyz
'x,y,z'
loop_
_atom_site_label
_atom_site_fract_x
_atom_site_fract_y
_atom_site_fract_z
Cl1 0.4252 0.4250 0.3961
Cl2 0.5761 0.9250 0.8961
Pr1 0.6404 0.7071 0.4426
Cl3 0.0761 0.0750 0.1039
Pr2 0.1404 0.2929 0.5574
Bi1 0.6207 0.1131 0.5398
Bi2 0.1207 0.8869 0.4602
Cl4 0.9252 0.5750 0.6039
Bi3 0.8806 0.3869 0.9602
Pr3 0.3609 0.2071 0.9427
Pr4 0.8609 0.7929 0.0573
Bi4 0.3806 0.6131 0.0398



Entry 2:
# Pr4Bi3Cl, relaxed, DFT PBE-GGA
# ρ	7.56	g/cm³
# total moment	0.00	μB per cell
# energy relative to the elements, uncorrected	-810	kJ/mol of formula units
# space-group type	I4/mmm
data_Pr4Bi3Cl
_space_group_name_H-M_alt 'P 1'
_space_group_IT_number 1
_cell_length_a 6.4548
_cell_length_b 6.4548
_cell_length_c 7.9115
_cell_angle_alpha 114.07
_cell_angle_beta 114.07
_cell_angle_gamma 90.00
loop_
_space_group_symop_operation_xyz
'x,y,z'
loop_
_atom_site_label
_atom_site_fract_x
_atom_site_fract_y
_atom_site_fract_z
Pr1 0.0000 0.5000 0.0000
Pr2 0.5000 0.0000 0.0000
Cl1 0.0000 0.0000 0.0000
Bi1 0.7500 0.2500 0.5000
Bi2 0.2500 0.7500 0.5000
Pr3 0.7462 0.7462 0.4924
Bi3 0.5000 0.5000 0.0000
Pr4 0.2538 0.2538 0.5076



Entry 3:
# Bi2PtCl8, relaxed, DFT PBE-GGA
# ρ	3.77	g/cm³
# total moment	0.00	μB per cell
# energy relative to the elements, uncorrected	-772	kJ/mol of formula units
# space-group type	C2/m
data_Bi2PtCl8
_space_group_name_H-M_alt 'P 1'
_space_group_IT_number 1
_cell_length_a 10.6610
_cell_length_b 6.8791
_cell_length_c 6.8791
_cell_angle_alpha 54.21
_cell_angle_beta 76.68
_cell_angle_gamma 76.68
loop_
_space_group_symop_operation_xyz
'x,y,z'
loop_
_atom_site_label
_atom_site_fract_x
_atom_site_fract_y
_atom_site_fract_z
Cl1 0.6891 0.4034 0.4034
Cl2 0.8936 0.8801 0.3779
Cl3 0.4050 0.2637 0.2637
Cl4 0.1064 0.1199 0.6221
Cl5 0.3109 0.5966 0.5966
Bi1 0.6779 0.2067 0.2067
Cl6 0.5950 0.7363 0.7363
Cl7 0.8936 0.3779 0.8801
Pt1 0.0000 0.0000 0.0000
Cl8 0.1064 0.6221 0.1199
Bi2 0.3221 0.7933 0.7933



Entry 4:
# Bi2PtCl, relaxed, DFT PBE-GGA
# ρ	11.88	g/cm³
# total moment	0.00	μB per cell
# energy relative to the elements, uncorrected	-51	kJ/mol of formula units
# space-group type	Fm-3m
data_Bi2PtCl
_space_group_name_H-M_alt 'P 1'
_space_group_IT_number 1
_cell_length_a 5.0424
_cell_length_b 5.0424
_cell_length_c 5.0424
_cell_angle_alpha 60.00
_cell_angle_beta 60.00
_cell_angle_gamma 60.00
loop_
_space_group_symop_operation_xyz
'x,y,z'
loop_
_atom_site_label
_atom_site_fract_x
_atom_site_fract_y
_atom_site_fract_z
Bi1 0.7500 0.7500 0.7500
Cl1 0.0000 0.0000 0.0000
Pt1 0.5000 0.5000 0.5000
Bi2 0.2500 0.2500 0.2500



Entry 5:
# BiPtCl2, relaxed, DFT PBE-GGA
# ρ	5.91	g/cm³
# total moment	0.00	μB per cell
# energy relative to the elements, uncorrected	12	kJ/mol of formula units
# space-group type	I4_1/amd
data_BiPtCl2
_space_group_name_H-M_alt 'P 1'
_space_group_IT_number 1
_cell_length_a 10.0615
_cell_length_b 10.0615
_cell_length_c 7.5868
_cell_angle_alpha 48.46
_cell_angle_beta 48.46
_cell_angle_gamma 90.00
loop_
_space_group_symop_operation_xyz
'x,y,z'
loop_
_atom_site_label
_atom_site_fract_x
_atom_site_fract_y
_atom_site_fract_z
Cl1 0.3751 0.6250 0.2500
Cl2 0.8750 0.6249 0.7500
Cl3 0.3750 0.6251 0.7500
Pt1 0.5000 0.5000 0.0000
Bi1 0.7500 0.2500 0.5000
Cl4 0.3749 0.1250 0.2500
Pt2 0.2500 0.7500 0.5000
Bi2 0.0000 0.0000 0.0000



Entry 6:
# Bi3PtCl, relaxed, DFT PBE-GGA
# ρ	9.46	g/cm³
# total moment	0.00	μB per cell
# energy relative to the elements, uncorrected	-158	kJ/mol of formula units
# space-group type	C2/c
data_Bi3PtCl
_space_group_name_H-M_alt 'P 1'
_space_group_IT_number 1
_cell_length_a 6.8550
_cell_length_b 9.9800
_cell_length_c 9.9800
_cell_angle_alpha 116.32
_cell_angle_beta 84.58
_cell_angle_gamma 84.58
loop_
_space_group_symop_operation_xyz
'x,y,z'
loop_
_atom_site_label
_atom_site_fract_x
_atom_site_fract_y
_atom_site_fract_z
Cl1 0.9844 0.7078 0.5513
Bi1 0.8638 0.9994 0.2850
Bi2 0.6362 0.7150 0.0006
Bi3 0.3833 0.1194 0.2647
Bi4 0.1362 0.0006 0.7150
Bi5 0.3638 0.2850 0.9994
Pt1 0.7500 0.9835 0.0165
Pt2 0.2500 0.8415 0.1585
Bi6 0.1167 0.7353 0.8806
Bi7 0.9876 0.3735 0.8288
Cl2 0.0156 0.2922 0.4487
Bi8 0.8833 0.2647 0.1194
Bi9 0.4876 0.8288 0.3735
Bi10 0.6167 0.8806 0.7353
Cl3 0.4844 0.5513 0.7078
Bi11 0.0124 0.6265 0.1712
Pt3 0.7500 0.1585 0.8415
Pt4 0.2500 0.0165 0.9835
Cl4 0.5156 0.4487 0.2922
Bi12 0.5124 0.1712 0.6265



Entry 7:
# Bi3PtCl, relaxed, DFT PBE-GGA
# ρ	9.23	g/cm³
# total moment	0.00	μB per cell
# energy relative to the elements, uncorrected	465	kJ/mol of formula units
# space-group type	Pm-3m
data_Bi3PtCl
_space_group_name_H-M_alt 'P 1'
_space_group_IT_number 1
_cell_length_a 5.3628
_cell_length_b 5.3628
_cell_length_c 5.3628
_cell_angle_alpha 90.00
_cell_angle_beta 90.00
_cell_angle_gamma 90.00
loop_
_space_group_symop_operation_xyz
'x,y,z'
loop_
_atom_site_label
_atom_site_fract_x
_atom_site_fract_y
_atom_site_fract_z
Bi1 0.0000 0.5000 0.0000
Cl1 0.0000 0.0000 0.0000
Bi2 0.0000 0.0000 0.5000
Pt1 0.5000 0.5000 0.5000
Bi3 0.5000 0.0000 0.0000



Entry 8:
# BiPt3Cl, relaxed, DFT PBE-GGA
# ρ	13.33	g/cm³
# total moment	0.00	μB per cell
# energy relative to the elements, uncorrected	371	kJ/mol of formula units
# space-group type	Pm-3m
data_BiPt3Cl
_space_group_name_H-M_alt 'P 1'
_space_group_IT_number 1
_cell_length_a 4.6929
_cell_length_b 4.6929
_cell_length_c 4.6929
_cell_angle_alpha 90.00
_cell_angle_beta 90.00
_cell_angle_gamma 90.00
loop_
_space_group_symop_operation_xyz
'x,y,z'
loop_
_atom_site_label
_atom_site_fract_x
_atom_site_fract_y
_atom_site_fract_z
Pt1 0.0000 0.5000 0.0000
Pt2 0.0000 0.0000 0.5000
Pt3 0.5000 0.0000 0.0000
Cl1 0.0000 0.0000 0.0000
Bi1 0.5000 0.5000 0.5000



Entry 9:
# BiPtCl2, relaxed, DFT PBE-GGA
# ρ	9.35	g/cm³
# total moment	0.00	μB per cell
# energy relative to the elements, uncorrected	104	kJ/mol of formula units
# space-group type	Fm-3m
data_BiPtCl2
_space_group_name_H-M_alt 'P 1'
_space_group_IT_number 1
_cell_length_a 4.9228
_cell_length_b 4.9228
_cell_length_c 4.9228
_cell_angle_alpha 60.00
_cell_angle_beta 60.00
_cell_angle_gamma 60.00
loop_
_space_group_symop_operation_xyz
'x,y,z'
loop_
_atom_site_label
_atom_site_fract_x
_atom_site_fract_y
_atom_site_fract_z
Bi1 0.5000 0.5000 0.5000
Cl1 0.2500 0.2500 0.2500
Pt1 0.0000 0.0000 0.0000
Cl2 0.7500 0.7500 0.7500



Entry 10:
# BiPt3Cl, relaxed, DFT PBE-GGA
# ρ	10.08	g/cm³
# total moment	0.00	μB per cell
# energy relative to the elements, uncorrected	592	kJ/mol of formula units
# space-group type	Pm-3m
data_BiPt3Cl
_space_group_name_H-M_alt 'P 1'
_space_group_IT_number 1
_cell_length_a 5.1504
_cell_length_b 5.1504
_cell_length_c 5.1504
_cell_angle_alpha 90.00
_cell_angle_beta 90.00
_cell_angle_gamma 90.00
loop_
_space_group_symop_operation_xyz
'x,y,z'
loop_
_atom_site_label
_atom_site_fract_x
_atom_site_fract_y
_atom_site_fract_z
Cl1 0.5000 0.5000 0.5000
Pt1 0.0000 0.0000 0.5000
Pt2 0.5000 0.0000 0.0000
Pt3 0.0000 0.5000 0.0000
Bi1 0.0000 0.0000 0.0000



Entry 11:
# Bi2PtCl, relaxed, DFT PBE-GGA
# ρ	9.64	g/cm³
# total moment	0.00	μB per cell
# energy relative to the elements, uncorrected	-170	kJ/mol of formula units
# space-group type	R-3m
data_Bi2PtCl
_space_group_name_H-M_alt 'P 1'
_space_group_IT_number 1
_cell_length_a 4.2178
_cell_length_b 4.2178
_cell_length_c 7.6497
_cell_angle_alpha 74.00
_cell_angle_beta 74.00
_cell_angle_gamma 60.00
loop_
_space_group_symop_operation_xyz
'x,y,z'
loop_
_atom_site_label
_atom_site_fract_x
_atom_site_fract_y
_atom_site_fract_z
Bi1 0.7293 0.7293 0.8120
Pt1 0.0000 0.0000 0.0000
Bi2 0.2707 0.2707 0.1880
Cl1 0.5000 0.5000 0.5000



Entry 12:
# Bi2PtCl, relaxed, DFT PBE-GGA
# ρ	7.69	g/cm³
# total moment	0.00	μB per cell
# energy relative to the elements, uncorrected	-37	kJ/mol of formula units
# space-group type	I-42d
data_Bi2PtCl
_space_group_name_H-M_alt 'P 1'
_space_group_IT_number 1
_cell_length_a 6.7726
_cell_length_b 6.7726
_cell_length_c 7.7570
_cell_angle_alpha 64.12
_cell_angle_beta 64.12
_cell_angle_gamma 90.00
loop_
_space_group_symop_operation_xyz
'x,y,z'
loop_
_atom_site_label
_atom_site_fract_x
_atom_site_fract_y
_atom_site_fract_z
Bi1 0.8750 0.9259 0.7500
Cl1 0.2500 0.7500 0.5000
Bi2 0.6759 0.1250 0.2500
Bi3 0.0741 0.6250 0.2500
Pt1 0.7500 0.2500 0.5000
Pt2 0.0000 0.0000 0.0000
Cl2 0.5000 0.5000 0.0000
Bi4 0.3750 0.3241 0.7500



Entry 13:
# BiPtCl2, relaxed, DFT PBE-GGA
# ρ	8.52	g/cm³
# total moment	0.00	μB per cell
# energy relative to the elements, uncorrected	-17	kJ/mol of formula units
# space-group type	R-3m
data_BiPtCl2
_space_group_name_H-M_alt 'P 1'
_space_group_IT_number 1
_cell_length_a 9.4212
_cell_length_b 9.4212
_cell_length_c 9.4212
_cell_angle_alpha 20.83
_cell_angle_beta 20.83
_cell_angle_gamma 20.83
loop_
_space_group_symop_operation_xyz
'x,y,z'
loop_
_atom_site_label
_atom_site_fract_x
_atom_site_fract_y
_atom_site_fract_z
Pt1 0.0000 0.0000 0.0000
Cl1 0.9175 0.9175 0.9175
Bi1 0.5000 0.5000 0.5000
Cl2 0.0825 0.0825 0.0825



Entry 14:
# BiPtCl6, relaxed, DFT PBE-GGA
# ρ	3.83	g/cm³
# total moment	0.00	μB per cell
# energy relative to the elements, uncorrected	-468	kJ/mol of formula units
# space-group type	C2/m
data_BiPtCl6
_space_group_name_H-M_alt 'P 1'
_space_group_IT_number 1
_cell_length_a 6.8248
_cell_length_b 6.8248
_cell_length_c 6.7775
_cell_angle_alpha 106.07
_cell_angle_beta 106.07
_cell_angle_gamma 106.95
loop_
_space_group_symop_operation_xyz
'x,y,z'
loop_
_atom_site_label
_atom_site_fract_x
_atom_site_fract_y
_atom_site_fract_z
Cl1 0.0162 0.7032 0.7000
Cl2 0.2968 0.9838 0.3000
Cl3 0.2662 0.2662 0.9436
Cl4 0.9838 0.2968 0.3000
Cl5 0.7338 0.7338 0.0564
Cl6 0.7032 0.0162 0.7000
Pt1 0.0000 0.0000 0.0000
Bi1 0.0000 0.0000 0.5000